The following is a PBE calculation of an optimized crystal structure of LiAlMo2, from Alexandria.

Output
Its crystal system is trigonal. The calculation puts the density of states at the Fermi level at 1.188 states/eV per atom. The formation energy comes out at 97 kJ/mol of formula units.

```
LiAlMo2
1.0
-9.120 -2.630 1.457
-8.373 -4.695 -0.238
-7.882 -4.889 2.486
Al Li Mo
1 1 2
Direct
0.250 0.250 0.250
0.750 0.750 0.750
0.996 0.996 0.996
0.504 0.504 0.504
```